Density functional theory data (PBE) for a geometry-optimized Ba2YOs structure.

Calculated values
The value obtained for the energy relative to the elements is 0.95 eV per formula unit. For the density, the calculation gives 5.9 g/cm³. The crystal system is monoclinic. The calculation puts the total moment at 0.000 μB per atom.

Cell lengths 3.7801, 4.3859, 9.6336 Å; angles 76.92, 90.00, 90.00 degrees
Atoms (fractional coordinates):
Ba: 0.0000 0.0999 0.9270
Ba: 0.5000 0.3983 0.3261
Os: 0.0000 0.2611 0.6030
Y: 0.5000 0.7407 0.6439